Entry 1:
A geometry-optimized P2Ru structure. Source: Alexandria via LeMat-Bulk, functional PBEsol.

It has space group Cmcm (No. 63), with a = 3.000 Å, b = 11.391 Å, c = 4.616 Å, α = 90.00°, β = 90.00° and γ = 90.00°. The asymmetric unit holds P at (0.000, 0.025, 0.250), P at (0.000, 0.360, 0.250) and Ru at (0.000, 0.307, 0.750).

Entry 2:
A geometry-optimized P2Ru structure. Source: Alexandria via LeMat-Bulk, functional PBEsol.

It has space group Pnnm (No. 58), with a = 5.095 Å, b = 5.864 Å, c = 2.860 Å, α = 90.00°, β = 90.00° and γ = 90.00°. The asymmetric unit holds P at (0.162, 0.128, 0.000) and Ru at (0.000, 0.500, 0.000).

Entry 3:
A geometry-optimized PRuS structure. Source: Alexandria via LeMat-Bulk, functional PBEsol.

The energy relative to the elements, uncorrected is -2.0 eV/f.u.

It has space group P2_1/c (No. 14), with a = 5.697 Å, b = 5.727 Å, c = 5.769 Å, α = 90.00°, β = 110.88° and γ = 90.00°. The asymmetric unit holds P at (0.150, 0.124, 0.374), Ru at (0.275, 0.002, 0.794) and S at (0.336, 0.623, 0.692).

Entry 4:
A geometry-optimized ScP2RuS structure. Source: Alexandria via LeMat-Bulk, functional PBEsol.

The energy relative to the elements, uncorrected is 0.0 eV/f.u.

It has space group P4/mmm (No. 123), with a = 4.377 Å, b = 4.377 Å, c = 4.989 Å, α = 90.00°, β = 90.00° and γ = 90.00°. The asymmetric unit holds Sc at (0.000, 0.000, 0.000), P at (0.000, 0.500, 0.500), Ru at (0.500, 0.500, 0.500) and S at (0.500, 0.500, 0.000).

Entry 5:
A geometry-optimized SbPRu2 structure. Source: Alexandria via LeMat-Bulk, functional PBEsol.

The energy relative to the elements, uncorrected is -0.3 eV/f.u. Its energy above the most stable polymorph in this dataset is 0.088 eV per atom.

It has space group P4mm (No. 99), with a = 3.274 Å, b = 3.274 Å, c = 5.874 Å, α = 90.00°, β = 90.00° and γ = 90.00°. The asymmetric unit holds Sb at (0.000, 0.000, 0.000), P at (0.500, 0.500, 0.379), Ru at (0.000, 0.000, 0.457) and Ru at (0.500, 0.500, 0.779).

Entry 6:
A geometry-optimized Sb2PRu structure. Source: Alexandria via LeMat-Bulk, functional PBEsol.

The energy relative to the elements, uncorrected is 0.6 eV/f.u.

It has space group Imm2 (No. 44), with a = 3.072 Å, b = 4.661 Å, c = 11.042 Å, α = 90.00°, β = 90.00° and γ = 90.00°. The asymmetric unit holds Sb at (0.000, 0.000, 0.000), Sb at (0.000, 0.500, 0.204), P at (0.000, 0.000, 0.382) and Ru at (0.000, 0.500, 0.721).

Number 1: calculated total energy -91.0 eV per cell. Number 2: calculated total energy -47.6 eV per cell. Number 3: calculated total energy -89.5 eV per cell. Number 4: calculated total energy -32.7 eV per cell. Number 5: calculated total energy -31.0 eV per cell. Number 6: calculated total energy -48.9 eV per cell.